The following is a DFT calculation (SCAN) of a PBEsol-optimized structure of TaSn2HgI.

Computed properties:
Space group: P4/mmm
Uncorrected formation energy (eV per formula unit): 2.7
Crystal system: tetragonal

Lattice parameters (Å, degrees): 5.4208 5.4208 5.3960 90.00 90.00 90.00
With the nearest neighbours (Å) after each atom.
Sites, in units of the cell vectors:
Ta 0.0000 0.0000 0.0000  2 Hg 2.70, 4 Sn 2.71
Sn 0.0000 0.5000 0.0000  2 Ta 2.71
Sn 0.5000 0.0000 0.0000  2 Ta 2.71
Hg 0.0000 0.0000 0.5000  2 Ta 2.70
I 0.5000 0.5000 0.5000  8 Sn 3.82, 4 Hg 3.83

---

The following is a DFT calculation (SCAN) of a PBEsol-optimized structure of Cu2IrPt.

Computed properties:
Space group: C2/m
ΔH_f (0 K) (kJ per mole of atoms): -3.2
Crystal system: monoclinic
Energy above the most stable polymorph in this dataset (kJ/mol of formula units): 3

Lattice parameters (Å, degrees): 4.5138 4.5138 4.6667 99.76 99.76 34.24
With the nearest neighbours (Å) after each atom.
Sites, in units of the cell vectors:
Cu 0.2486 0.2486 0.2438  3 Ir 2.61-2.62, 3 Pt 2.63-2.64, 6 Cu 2.64-2.73
Cu 0.7514 0.7514 0.7562  3 Ir 2.61-2.62, 3 Pt 2.63-2.64, 6 Cu 2.64-2.73
Ir 0.5000 0.5000 0.0000  6 Cu 2.61-2.62, 2 Ir 2.66, 4 Pt 2.69
Pt 0.0000 0.0000 0.5000  6 Cu 2.63-2.64, 2 Pt 2.66, 4 Ir 2.69

---

The following is a DFT calculation (SCAN) of a PBEsol-optimized structure of CsLiSF2.

Computed properties:
Space group: P4/mmm
Uncorrected formation energy (eV per formula unit): -2.0
Crystal system: tetragonal

Lattice parameters (Å, degrees): 4.6390 4.6390 5.9642 90.00 90.00 90.00
With the nearest neighbours (Å) after each atom.
Sites, in units of the cell vectors:
Cs 0.0000 0.0000 0.0000  2 S 2.98, 4 Li 3.28
Li 0.5000 0.5000 0.0000  4 Cs 3.28
S 0.0000 0.0000 0.5000  4 F 2.32
F 0.0000 0.5000 0.5000  2 S 2.32
F 0.5000 0.0000 0.5000  2 S 2.32

---

The following is a DFT calculation (SCAN) of a PBEsol-optimized structure of LaBeTl2Se.

Computed properties:
Space group: P4/mmm
Uncorrected formation energy (eV per formula unit): 0.1
Crystal system: tetragonal

Lattice parameters (Å, degrees): 5.9668 5.9668 3.9610 90.00 90.00 90.00
With the nearest neighbours (Å) after each atom.
Sites, in units of the cell vectors:
La 0.0000 0.0000 0.0000  8 Tl 3.58, 2 La 3.96
Be 0.5000 0.5000 0.0000  2 Se 1.98
Tl 0.0000 0.5000 0.5000  2 Se 2.98
Tl 0.5000 0.0000 0.5000  2 Se 2.98
Se 0.5000 0.5000 0.5000  2 Be 1.98

---

Number 1: volume 31.7 Å³/atom. Number 2: volume 13.2 Å³/atom. Number 3: volume 25.7 Å³/atom. Number 4: volume 28.2 Å³/atom.